## 1
BaCrIr2 after structural relaxation, computed with PBE.

Cell: 4.821 4.821 4.821 Å, 60.00 60.00 60.00°
Sites, in units of the cell vectors:
Ba1 0.000 0.000 0.000
Cr1 0.250 0.250 0.250
Ir1 0.500 0.500 0.500
Ir2 0.750 0.750 0.750

Properties
SG: No. 216

## 2
BaCrIr2 after structural relaxation, computed with PBE.

Cell: 5.200 5.200 3.081 Å, 90.00 90.00 107.56°
Sites, in units of the cell vectors:
Ba1 0.000 0.000 0.000
Cr1 0.500 0.500 0.000
Ir1 0.000 0.500 0.500
Ir2 0.500 0.000 0.500

Properties
SG: No. 65

Of the structures shown above, 2 is the most stable.